## TlZnRe2 (PBE)

Data for crystalline TlZnRe2 at its relaxed geometry.

## Properties
* formation enthalpy at 0 K: 0.714 eV/atom
* E above lowest polymorph: 131 kJ/mol of formula units
* final energy: -6.42 eV per atom

Cell: 3.3889 4.7238 4.8627 Å, 90.00 96.57 90.00°
Atoms (fractional coordinates):
1 Tl 0.0000 0.0000 0.0000
2 Zn 0.5000 0.0000 0.5000
3 Re 0.2052 0.5000 0.3232
4 Re 0.7948 0.5000 0.6768

## Pm2Pr3PuTe6 (PBE)

Data for crystalline Pm2Pr3PuTe6 at its relaxed geometry.

## Properties
* energy relative to the elements, uncorrected: -1.3841 eV per atom
* final energy: -6.14 eV per atom

Cell: 10.0533 10.0533 9.0311 Å, 103.15 103.15 25.69°
Atoms (fractional coordinates):
1 Pm 0.1653 0.1653 0.3307
2 Pm 0.8347 0.8347 0.6693
3 Pr 0.1679 0.1679 0.8346
4 Pr 0.5000 0.5000 0.5000
5 Pr 0.8321 0.8321 0.1654
6 Pu 0.5000 0.5000 0.0000
7 Te 0.0001 0.0001 0.2443
8 Te 0.9999 0.9999 0.7557
9 Te 0.3316 0.3316 0.4199
10 Te 0.3358 0.3358 0.9151
11 Te 0.6642 0.6642 0.0849
12 Te 0.6684 0.6684 0.5801

## PrEuYSn (PBE)

Data for crystalline PrEuYSn at its relaxed geometry.

## Properties
* formation enthalpy at 0 K: -0.275 eV/atom
* final energy: -6.66 eV per atom

Cell: 5.5536 5.5536 5.5536 Å, 60.00 60.00 60.00°
Atoms (fractional coordinates):
1 Pr 0.0000 0.0000 0.0000
2 Eu 0.7500 0.7500 0.7500
3 Y 0.5000 0.5000 0.5000
4 Sn 0.2500 0.2500 0.2500

## Pm5PrHo5 (PBE)

Data for crystalline Pm5PrHo5 at its relaxed geometry.

## Properties
* formation enthalpy at 0 K: 0.291 eV/atom
* final energy: -4.38 eV per atom

Cell: 6.1237 6.1237 11.7777 Å, 90.00 90.00 120.00°
Atoms (fractional coordinates):
1 Pm 0.0000 0.0000 0.0000
2 Pm 0.3333 0.6667 0.3215
3 Pm 0.3333 0.6667 0.6785
4 Pm 0.6667 0.3333 0.1562
5 Pm 0.6667 0.3333 0.8438
6 Pr 0.3333 0.6667 0.0000
7 Ho 0.0000 0.0000 0.2663
8 Ho 0.0000 0.0000 0.7337
9 Ho 0.3332 0.1666 0.5000
10 Ho 0.8334 0.1666 0.5000
11 Ho 0.8334 0.6667 0.5000

## Ca2BiSe2 (PBE)

Data for crystalline Ca2BiSe2 at its relaxed geometry.

## Properties
* energy relative to the elements, uncorrected: -1.2096 eV per atom
* final energy: -4.18 eV per atom

Cell: 8.4219 8.4219 3.7745 Å, 90.00 90.00 90.00°
Atoms (fractional coordinates):
1 Ca 0.1563 0.3437 0.0000
2 Ca 0.3437 0.8437 0.0000
3 Ca 0.6563 0.1563 0.0000
4 Ca 0.8437 0.6563 0.0000
5 Bi 0.0000 0.0000 0.5000
6 Bi 0.5000 0.5000 0.5000
7 Se 0.1486 0.6486 0.5000
8 Se 0.3514 0.1486 0.5000
9 Se 0.6486 0.8514 0.5000
10 Se 0.8514 0.3514 0.5000

## RbCdH6Rh (PBE)

Data for crystalline RbCdH6Rh at its relaxed geometry.

## Properties
* final energy: -3.44 eV per atom

Cell: 4.9166 4.9166 5.9853 Å, 90.00 90.00 120.00°
Atoms (fractional coordinates):
1 Rb 0.0000 0.0000 0.0000
2 Cd 0.3333 0.6667 0.5000
3 H 0.3983 0.0712 0.6730
4 H 0.3983 0.3270 0.3270
5 H 0.6730 0.0712 0.3270
6 H 0.6730 0.6017 0.6730
7 H 0.9288 0.3270 0.6730
8 H 0.9288 0.6017 0.3270
9 Rh 0.6667 0.3333 0.5000

## TbCeGeIr (PBE)

Data for crystalline TbCeGeIr at its relaxed geometry.

## Properties
* formation enthalpy at 0 K: -0.800 eV/atom
* final energy: -6.81 eV per atom

Cell: 4.3422 5.5044 5.5044 Å, 44.07 90.00 90.00°
Atoms (fractional coordinates):
1 Tb 0.0000 0.0000 0.0000
2 Ce 0.5000 0.7173 0.7173
3 Ge 0.0000 0.2880 0.2880
4 Ir 0.5000 0.4441 0.4441

## NdCu5Sn (PBE)

Data for crystalline NdCu5Sn at its relaxed geometry.

## Properties
* formation enthalpy at 0 K: -0.254 eV/atom
* final energy: -4.43 eV per atom

Cell: 8.3564 5.0834 10.6535 Å, 90.00 90.00 90.00°
Atoms (fractional coordinates):
1 Nd 0.2460 0.2500 0.0593
2 Nd 0.2540 0.7500 0.5593
3 Nd 0.7460 0.2500 0.4407
4 Nd 0.7540 0.7500 0.9407
5 Cu 0.0627 0.7500 0.1040
6 Cu 0.0688 0.0002 0.3117
7 Cu 0.0688 0.4998 0.3117
8 Cu 0.0820 0.2500 0.5168
9 Cu 0.1814 0.2500 0.7443
10 Cu 0.3186 0.7500 0.2443
11 Cu 0.4180 0.7500 0.0168
12 Cu 0.4312 0.9998 0.8117
13 Cu 0.4312 0.5002 0.8117
14 Cu 0.4373 0.2500 0.6040
15 Cu 0.5627 0.7500 0.3960
16 Cu 0.5688 0.0002 0.1883
17 Cu 0.5688 0.4998 0.1883
18 Cu 0.5820 0.2500 0.9832
19 Cu 0.6814 0.2500 0.7557
20 Cu 0.8186 0.7500 0.2557
21 Cu 0.9180 0.7500 0.4832
22 Cu 0.9312 0.9998 0.6883
23 Cu 0.9312 0.5002 0.6883
24 Cu 0.9373 0.2500 0.8960
25 Sn 0.1400 0.7500 0.8597
26 Sn 0.3600 0.2500 0.3597
27 Sn 0.6400 0.7500 0.6403
28 Sn 0.8600 0.2500 0.1403